The following is a GGA-PBE calculation of crystalline PmNd2InO at its relaxed geometry, from Alexandria.

The energy relative to the elements, uncorrected comes out at -136.18 kJ per mole of atoms. The value obtained for the density of states at the Fermi level is 1.393 states/eV per cell.

It has space group P4/mmm (No. 123), with a = 4.9879 Å, b = 4.9879 Å, c = 4.9352 Å, α = 90.00°, β = 90.00° and γ = 90.00°. The distinct sites, in fractional coordinates, are Pm at (0.0000, 0.0000, 0.0000), Nd at (0.0000, 0.5000, 0.5000), In at (0.5000, 0.5000, 0.0000) and O at (0.0000, 0.0000, 0.5000).